[1]
## Tl2TeNO (PBE)

Data for an optimized crystal structure of Tl2TeNO.

Cell and atoms, written as CIF:
```
data_Tl2TeNO
_chemical_formula_sum 'Tl2 Te1 N1 O1'
_space_group_name_H-M_alt 'P 4/m m m'
_space_group_IT_number 123
_space_group_name_Hall '-P 4 2'
_cell_length_a 6.1499
_cell_length_b 6.1499
_cell_length_c 4.0682
_cell_angle_alpha 90.00
_cell_angle_beta 90.00
_cell_angle_gamma 90.00
loop_
_atom_site_label
_atom_site_fract_x
_atom_site_fract_y
_atom_site_fract_z
Tl1 0.0000 0.5000 0.0000
Te1 0.0000 0.0000 0.0000
N1 0.0000 0.0000 0.5000
O1 0.5000 0.5000 0.5000
```

Calculated values
Its volume is 154 Å³/cell. The calculation puts the formation energy from raw total energies at 0.96 eV per atom. Its raw total energy is -16.38 eV per formula unit.

[2]
## Al2PCl (PBE)

Data for an optimized crystal structure of Al2PCl.

Cell and atoms, written as CIF:
```
data_Al2PCl
_chemical_formula_sum 'Al8 P4 Cl4'
_space_group_name_H-M_alt 'F m -3 m'
_space_group_IT_number 225
_space_group_name_Hall '-F 4 2 3'
_cell_length_a 6.4662
_cell_length_b 6.4662
_cell_length_c 6.4662
_cell_angle_alpha 90.00
_cell_angle_beta 90.00
_cell_angle_gamma 90.00
loop_
_atom_site_label
_atom_site_fract_x
_atom_site_fract_y
_atom_site_fract_z
Al1 0.2500 0.2500 0.2500
P1 0.0000 0.0000 0.0000
Cl1 0.0000 0.0000 0.5000
```

Calculated values
Its volume is 270 Å³/cell. The calculation puts the formation energy from raw total energies at -0.04 eV per atom. Its raw total energy is -14.91 eV per formula unit. The calculation puts the offset from the most stable computed form at 0.274 eV/atom.

[3]
## PrTh5Bi6 (PBE)

Data for an optimized crystal structure of PrTh5Bi6.

Cell and atoms, written as CIF:
```
data_PrTh5Bi6
_chemical_formula_sum 'Pr2 Th10 Bi12'
_space_group_name_H-M_alt 'C 1 2/m 1'
_space_group_IT_number 12
_space_group_name_Hall '-C 2y'
_cell_length_a 7.9682
_cell_length_b 13.7976
_cell_length_c 7.9837
_cell_angle_alpha 90.00
_cell_angle_beta 109.41
_cell_angle_gamma 90.00
loop_
_atom_site_label
_atom_site_fract_x
_atom_site_fract_y
_atom_site_fract_z
Pr1 0.0000 0.0000 0.0000
Th1 0.0000 0.1651 0.5000
Th2 0.0000 0.3333 0.0000
Th3 0.0000 0.5000 0.5000
Bi1 0.2490 0.3327 0.7490
Bi2 0.2485 0.5000 0.2494
```

Calculated values
Its volume is 828 Å³/cell. Its raw total energy is -72.71 eV per formula unit. The energy relative to the elements is -61 kJ/mol of atoms.

The lowest raw total energy belongs to which entry? PrTh5Bi6

Please write out number 3 again, unchanged.
## PrTh5Bi6 (PBE)

Data for an optimized crystal structure of PrTh5Bi6.

Cell and atoms, written as CIF:
```
data_PrTh5Bi6
_chemical_formula_sum 'Pr2 Th10 Bi12'
_space_group_name_H-M_alt 'C 1 2/m 1'
_space_group_IT_number 12
_space_group_name_Hall '-C 2y'
_cell_length_a 7.9682
_cell_length_b 13.7976
_cell_length_c 7.9837
_cell_angle_alpha 90.00
_cell_angle_beta 109.41
_cell_angle_gamma 90.00
loop_
_atom_site_label
_atom_site_fract_x
_atom_site_fract_y
_atom_site_fract_z
Pr1 0.0000 0.0000 0.0000
Th1 0.0000 0.1651 0.5000
Th2 0.0000 0.3333 0.0000
Th3 0.0000 0.5000 0.5000
Bi1 0.2490 0.3327 0.7490
Bi2 0.2485 0.5000 0.2494
```

Calculated values
Its volume is 828 Å³/cell. Its raw total energy is -72.71 eV per formula unit. The energy relative to the elements is -61 kJ/mol of atoms.

What is the formula in the first record? Tl2TeNO